Compound: CaSm2AgS4
Source: the Alexandria database
Functional: PBE
Structure: optimized geometry

a b c (Å): 6.926 4.022 6.999
angles (deg): 90.00 110.09 90.00
Positions (direct):
Ca (0.000, 0.000, 0.000)
Sm (0.000, 0.500, 0.500)
Sm (0.500, 0.000, 0.500)
Ag (0.500, 0.500, 0.000)
S (0.247, 0.500, 0.252)
S (0.250, 0.000, 0.748)
S (0.750, 0.000, 0.252)
S (0.753, 0.500, 0.748)

spin magnetization: 0.00 Bohr magnetons per cell
calculated volume: 183.1 Å³ per cell
SG: P2/m, No. 10
energy relative to the elements, uncorrected: -1650 meV/atom

=====

Compound: CaAgSn2S4
Source: the Alexandria database
Functional: PBE
Structure: optimized geometry

a b c (Å): 6.920 3.990 7.008
angles (deg): 90.00 109.40 90.00
Positions (direct):
Ca (0.000, 0.000, 0.000)
Ag (0.500, 0.500, 0.000)
Sn (0.000, 0.500, 0.500)
Sn (0.500, 0.000, 0.500)
S (0.240, 0.500, 0.247)
S (0.245, 0.000, 0.750)
S (0.755, 0.000, 0.250)
S (0.760, 0.500, 0.753)

spin magnetization: 0.00 Bohr magnetons per cell
calculated volume: 182.5 Å³ per cell
SG: P2/m, No. 10
energy relative to the elements, uncorrected: -722 meV/atom

=====

Compound: Ca2AgSnS4
Source: the Alexandria database
Functional: PBE
Structure: optimized geometry

a b c (Å): 6.800 4.020 6.963
angles (deg): 90.00 109.05 90.00
Positions (direct):
Ca (0.000, 0.000, 0.000)
Ca (0.000, 0.500, 0.500)
Ag (0.500, 0.000, 0.500)
Sn (0.500, 0.500, 0.000)
S (0.253, 0.000, 0.755)
S (0.257, 0.500, 0.241)
S (0.743, 0.500, 0.759)
S (0.747, 0.000, 0.245)

spin magnetization: 0.00 Bohr magnetons per cell
calculated volume: 179.9 Å³ per cell
SG: P2/m, No. 10
energy relative to the elements, uncorrected: -1090 meV/atom

=====

Compound: CaTaAgS4
Source: the Alexandria database
Functional: PBE
Structure: optimized geometry

a b c (Å): 6.900 6.900 8.142
angles (deg): 90.00 90.00 111.89
Positions (direct):
Ca (0.000, 0.000, 0.000)
Ca (0.000, 0.000, 0.500)
Ta (0.362, 0.638, 0.750)
Ta (0.638, 0.362, 0.250)
Ag (0.367, 0.633, 0.250)
Ag (0.633, 0.367, 0.750)
S (0.232, 0.274, 0.750)
S (0.249, 0.751, 0.521)
S (0.249, 0.751, 0.979)
S (0.274, 0.232, 0.250)
S (0.726, 0.768, 0.750)
S (0.751, 0.249, 0.021)
S (0.751, 0.249, 0.479)
S (0.768, 0.726, 0.250)

spin magnetization: 0.00 Bohr magnetons per cell
calculated volume: 359.7 Å³ per cell
SG: Cmcm, No. 63
energy relative to the elements, uncorrected: -1047 meV/atom

=====

Compound: Ca2TbAgS4
Source: the Alexandria database
Functional: PBE
Structure: optimized geometry

a b c (Å): 6.895 4.020 6.912
angles (deg): 90.00 109.65 90.00
Positions (direct):
Ca (0.000, 0.000, 0.000)
Ca (0.500, 0.500, 0.000)
Tb (0.000, 0.500, 0.500)
Ag (0.500, 0.000, 0.500)
S (0.239, 0.000, 0.746)
S (0.244, 0.500, 0.254)
S (0.756, 0.500, 0.746)
S (0.761, 0.000, 0.254)

spin magnetization: 0.00 Bohr magnetons per cell
calculated volume: 180.5 Å³ per cell
SG: P2/m, No. 10
energy relative to the elements, uncorrected: -1691 meV/atom

=====

Compound: CaTc2AgS
Source: the Alexandria database
Functional: PBE
Structure: optimized geometry

a b c (Å): 4.999 4.999 5.600
angles (deg): 90.00 90.00 90.00
Positions (direct):
Ca (0.000, 0.000, 0.000)
Tc (0.000, 0.500, 0.500)
Tc (0.500, 0.000, 0.500)
Ag (0.000, 0.000, 0.500)
S (0.500, 0.500, 0.000)

spin magnetization: 7.18 Bohr magnetons per cell
calculated volume: 139.9 Å³ per cell
SG: P4/mmm, No. 123
energy relative to the elements, uncorrected: 1475 meV/atom

=====

Compound: CaAg2TeS4
Source: the Alexandria database
Functional: PBE
Structure: optimized geometry

a b c (Å): 7.981 7.981 7.981
angles (deg): 122.66 121.45 86.48
Positions (direct):
Ca (0.000, 0.000, 0.000)
Ca (0.500, 0.000, 0.500)
Ag (0.000, 0.500, 0.500)
Ag (0.500, 0.000, 0.000)
Ag (0.500, 0.500, 0.000)
Ag (0.500, 0.500, 0.500)
Te (0.000, 0.000, 0.500)
Te (0.000, 0.500, 0.000)
S (0.229, 0.239, 0.510)
S (0.229, 0.719, 0.990)
S (0.250, 0.245, 0.005)
S (0.260, 0.755, 0.505)
S (0.740, 0.245, 0.495)
S (0.750, 0.755, 0.995)
S (0.771, 0.281, 0.010)
S (0.771, 0.761, 0.490)

spin magnetization: 0.00 Bohr magnetons per cell
calculated volume: 347.5 Å³ per cell
SG: Imma, No. 74
energy relative to the elements, uncorrected: -463 meV/atom

=====

Compound: CaTiAg2S4
Source: the Alexandria database
Functional: PBE
Structure: optimized geometry

a b c (Å): 6.892 6.887 6.050
angles (deg): 64.00 63.91 52.09
Positions (direct):
Ca (0.000, 0.000, 0.000)
Ti (0.501, 0.501, 0.499)
Ag (0.251, 0.251, 0.249)
Ag (0.751, 0.751, 0.749)
S (0.161, 0.597, 0.403)
S (0.404, 0.841, 0.596)
S (0.597, 0.161, 0.839)
S (0.841, 0.404, 0.159)

spin magnetization: 0.00 Bohr magnetons per cell
calculated volume: 197.6 Å³ per cell
SG: Fmm2, No. 42
energy relative to the elements, uncorrected: -983 meV/atom

=====

Compound: Ca4Tm3AgS8
Source: the Alexandria database
Functional: PBE
Structure: optimized geometry

a b c (Å): 7.901 7.901 7.901
angles (deg): 59.86 59.86 59.86
Positions (direct):
Ca (0.000, 0.000, 0.000)
Ca (0.000, 0.500, 0.500)
Ca (0.500, 0.000, 0.500)
Ca (0.500, 0.500, 0.000)
Tm (0.000, 0.000, 0.500)
Tm (0.000, 0.500, 0.000)
Tm (0.500, 0.000, 0.000)
Ag (0.500, 0.500, 0.500)
S (0.239, 0.751, 0.751)
S (0.246, 0.246, 0.246)
S (0.249, 0.249, 0.761)
S (0.249, 0.761, 0.249)
S (0.751, 0.239, 0.751)
S (0.751, 0.751, 0.239)
S (0.754, 0.754, 0.754)
S (0.761, 0.249, 0.249)

spin magnetization: 0.00 Bohr magnetons per cell
calculated volume: 347.6 Å³ per cell
SG: R-3m, No. 166
energy relative to the elements, uncorrected: -1869 meV/atom

=====

Compound: Ca2UAg2S6
Source: the Alexandria database
Functional: PBE
Structure: optimized geometry

a b c (Å): 7.075 7.075 6.437
angles (deg): 95.27 95.27 119.74
Positions (direct):
Ca (0.167, 0.833, 0.000)
Ca (0.833, 0.167, 0.000)
U (0.500, 0.500, 0.000)
Ag (0.378, 0.622, 0.500)
Ag (0.622, 0.378, 0.500)
S (0.152, 0.461, 0.777)
S (0.234, 0.234, 0.221)
S (0.461, 0.152, 0.777)
S (0.539, 0.848, 0.223)
S (0.766, 0.766, 0.779)
S (0.848, 0.539, 0.223)

spin magnetization: 0.00 Bohr magnetons per cell
calculated volume: 275.0 Å³ per cell
SG: C2/m, No. 12
energy relative to the elements, uncorrected: -1202 meV/atom

=====

Compound: Ca2UAg3S6
Source: the Alexandria database
Functional: PBE
Structure: optimized geometry

a b c (Å): 7.136 7.136 6.423
angles (deg): 95.80 95.80 121.04
Positions (direct):
Ca (0.171, 0.829, 0.000)
Ca (0.829, 0.171, 0.000)
U (0.500, 0.500, 0.000)
Ag (0.000, 0.000, 0.500)
Ag (0.374, 0.626, 0.500)
Ag (0.626, 0.374, 0.500)
S (0.142, 0.451, 0.770)
S (0.223, 0.223, 0.227)
S (0.451, 0.142, 0.770)
S (0.549, 0.858, 0.230)
S (0.777, 0.777, 0.773)
S (0.858, 0.549, 0.230)

spin magnetization: 1.00 Bohr magnetons per cell
calculated volume: 274.2 Å³ per cell
SG: C2/m, No. 12
energy relative to the elements, uncorrected: -1094 meV/atom

=====

Compound: Ca2UAgS6
Source: the Alexandria database
Functional: PBE
Structure: optimized geometry

a b c (Å): 7.193 7.193 6.652
angles (deg): 117.05 117.05 57.66
Positions (direct):
Ca (0.247, 0.247, 0.192)
Ca (0.753, 0.753, 0.808)
U (0.000, 0.000, 0.500)
Ag (0.500, 0.500, 0.000)
S (0.177, 0.666, 0.169)
S (0.216, 0.216, 0.576)
S (0.334, 0.823, 0.831)
S (0.666, 0.177, 0.169)
S (0.784, 0.784, 0.424)
S (0.823, 0.334, 0.831)

spin magnetization: 0.00 Bohr magnetons per cell
calculated volume: 248.5 Å³ per cell
SG: C2/m, No. 12
energy relative to the elements, uncorrected: -1189 meV/atom

=====

Compound: Ca4Y3AgS8
Source: the Alexandria database
Functional: PBE
Structure: optimized geometry

a b c (Å): 7.967 7.967 7.967
angles (deg): 59.79 59.79 59.79
Positions (direct):
Ca (0.000, 0.000, 0.000)
Ca (0.000, 0.500, 0.500)
Ca (0.500, 0.000, 0.500)
Ca (0.500, 0.500, 0.000)
Y (0.000, 0.000, 0.500)
Y (0.000, 0.500, 0.000)
Y (0.500, 0.000, 0.000)
Ag (0.500, 0.500, 0.500)
S (0.243, 0.751, 0.751)
S (0.248, 0.248, 0.248)
S (0.249, 0.249, 0.757)
S (0.249, 0.757, 0.249)
S (0.751, 0.243, 0.751)
S (0.751, 0.751, 0.243)
S (0.752, 0.752, 0.752)
S (0.757, 0.249, 0.249)

spin magnetization: 0.00 Bohr magnetons per cell
calculated volume: 355.9 Å³ per cell
SG: R-3m, No. 166
energy relative to the elements, uncorrected: -1887 meV/atom

=====

Compound: CaY2AgS4
Source: the Alexandria database
Functional: PBE
Structure: optimized geometry

a b c (Å): 6.794 3.955 6.971
angles (deg): 90.00 109.72 90.00
Positions (direct):
Ca (0.000, 0.000, 0.000)
Y (0.000, 0.500, 0.500)
Y (0.500, 0.000, 0.500)
Ag (0.500, 0.500, 0.000)
S (0.248, 0.000, 0.741)
S (0.250, 0.500, 0.258)
S (0.750, 0.500, 0.742)
S (0.752, 0.000, 0.259)

spin magnetization: 0.00 Bohr magnetons per cell
calculated volume: 176.4 Å³ per cell
SG: P2/m, No. 10
energy relative to the elements, uncorrected: -1668 meV/atom

=====

Compound: CaZrAgS2
Source: the Alexandria database
Functional: PBE
Structure: optimized geometry

a b c (Å): 5.048 5.048 5.086
angles (deg): 90.00 90.00 90.00
Positions (direct):
Ca (0.000, 0.000, 0.000)
Zr (0.500, 0.500, 0.000)
Ag (0.500, 0.500, 0.500)
S (0.000, 0.500, 0.500)
S (0.500, 0.000, 0.500)

spin magnetization: 1.83 Bohr magnetons per cell
calculated volume: 129.6 Å³ per cell
SG: P4/mmm, No. 123
energy relative to the elements, uncorrected: 311 meV/atom

=====

Compound: CaAgSb2
Source: the Alexandria database
Functional: PBE
Structure: optimized geometry

a b c (Å): 5.178 5.178 5.591
angles (deg): 106.33 106.33 48.04
Positions (direct):
Ca (0.000, 0.000, 0.000)
Ag (0.500, 0.500, 0.500)
Sb (0.242, 0.242, 0.712)
Sb (0.758, 0.758, 0.288)

spin magnetization: 0.00 Bohr magnetons per cell
calculated volume: 106.1 Å³ per cell
SG: C2/m, No. 12
energy relative to the elements, uncorrected: -313 meV/atom

=====

Compound: CaAgSb
Source: the Alexandria database
Functional: PBE
Structure: optimized geometry

a b c (Å): 8.728 8.728 8.728
angles (deg): 31.99 31.99 31.99
Positions (direct):
Ca (0.000, 0.000, 0.000)
Ca (0.456, 0.456, 0.456)
Ag (0.231, 0.231, 0.231)
Ag (0.856, 0.856, 0.856)
Sb (0.586, 0.586, 0.586)
Sb (0.737, 0.737, 0.737)

spin magnetization: 0.00 Bohr magnetons per cell
calculated volume: 165.8 Å³ per cell
SG: R3m, No. 160
energy relative to the elements, uncorrected: -578 meV/atom

=====

Compound: CaAgSb3
Source: the Alexandria database
Functional: PBE
Structure: optimized geometry

a b c (Å): 5.419 5.419 5.419
angles (deg): 90.00 90.00 90.00
Positions (direct):
Ca (0.000, 0.000, 0.000)
Ag (0.500, 0.500, 0.500)
Sb (0.000, 0.500, 0.500)
Sb (0.500, 0.000, 0.500)
Sb (0.500, 0.500, 0.000)

spin magnetization: 0.00 Bohr magnetons per cell
calculated volume: 159.1 Å³ per cell
SG: Pm-3m, No. 221
energy relative to the elements, uncorrected: 134 meV/atom
distance to the lowest polymorph of the same formula: 0 meV/atom

=====

Compound: CaAgSb2
Source: the Alexandria database
Functional: PBE
Structure: optimized geometry

a b c (Å): 9.519 9.519 9.519
angles (deg): 22.14 22.14 22.14
Positions (direct):
Ca (0.000, 0.000, 0.000)
Ag (0.500, 0.500, 0.500)
Sb (0.243, 0.243, 0.243)
Sb (0.757, 0.757, 0.757)

spin magnetization: 0.00 Bohr magnetons per cell
calculated volume: 107.4 Å³ per cell
SG: R-3m, No. 166
energy relative to the elements, uncorrected: -165 meV/atom

=====

Compound: CaAgSb
Source: the Alexandria database
Functional: PBE
Structure: optimized geometry

a b c (Å): 4.568 4.568 7.410
angles (deg): 90.00 90.00 90.00
Positions (direct):
Ca (0.250, 0.250, 0.185)
Ca (0.750, 0.750, 0.815)
Ag (0.250, 0.750, 0.500)
Ag (0.750, 0.250, 0.500)
Sb (0.250, 0.250, 0.751)
Sb (0.750, 0.750, 0.249)

spin magnetization: 0.00 Bohr magnetons per cell
calculated volume: 154.6 Å³ per cell
SG: P4/nmm, No. 129
energy relative to the elements, uncorrected: -673 meV/atom

=====

Compound: Ca4AgSb
Source: the Alexandria database
Functional: PBE
Structure: optimized geometry

a b c (Å): 6.578 6.578 6.578
angles (deg): 60.00 60.00 60.00
Positions (direct):
Ca (0.124, 0.124, 0.124)
Ca (0.124, 0.124, 0.628)
Ca (0.124, 0.628, 0.124)
Ca (0.628, 0.124, 0.124)
Ag (0.500, 0.500, 0.500)
Sb (0.750, 0.750, 0.750)

spin magnetization: 0.00 Bohr magnetons per cell
calculated volume: 201.3 Å³ per cell
SG: F-43m, No. 216
energy relative to the elements, uncorrected: 174 meV/atom

=====

Compound: Ca2Ag3Sb2
Source: the Alexandria database
Functional: PBE
Structure: optimized geometry

a b c (Å): 6.015 6.015 7.024
angles (deg): 106.99 106.99 45.65
Positions (direct):
Ca (0.136, 0.136, 0.249)
Ca (0.864, 0.864, 0.751)
Ag (0.395, 0.395, 0.068)
Ag (0.500, 0.500, 0.500)
Ag (0.605, 0.605, 0.932)
Sb (0.158, 0.158, 0.724)
Sb (0.842, 0.842, 0.276)

spin magnetization: 0.00 Bohr magnetons per cell
calculated volume: 172.4 Å³ per cell
SG: C2/m, No. 12
energy relative to the elements, uncorrected: -460 meV/atom

=====

Compound: CaAgSb
Source: the Alexandria database
Functional: PBE
Structure: optimized geometry

a b c (Å): 13.430 4.540 7.593
angles (deg): 90.00 90.00 90.00
Positions (direct):
Ca (0.040, 0.000, 0.245)
Ca (0.250, 0.000, 0.631)
Ca (0.460, 0.000, 0.245)
Ca (0.540, 0.000, 0.755)
Ca (0.750, 0.000, 0.369)
Ca (0.960, 0.000, 0.755)
Ag (0.103, 0.500, 0.946)
Ag (0.250, 0.500, 0.269)
Ag (0.397, 0.500, 0.946)
Ag (0.603, 0.500, 0.054)
Ag (0.750, 0.500, 0.731)
Ag (0.897, 0.500, 0.054)
Sb (0.104, 0.500, 0.552)
Sb (0.250, 0.000, 0.036)
Sb (0.396, 0.500, 0.552)
Sb (0.604, 0.500, 0.448)
Sb (0.750, 0.000, 0.964)
Sb (0.896, 0.500, 0.448)

spin magnetization: 0.00 Bohr magnetons per cell
calculated volume: 463.0 Å³ per cell
SG: Pmma, No. 51
energy relative to the elements, uncorrected: -575 meV/atom